No. 1
## Tm4ZrRh5 (PBE)

Data for an optimized crystal structure of Tm4ZrRh5.

abc: 3.3332 3.3332 17.1573
angles: 90.00 90.00 90.00
Sites, in units of the cell vectors:
Rh1 0.5000 0.5000 0.9083
Tm1 0.0000 0.0000 0.1983
Rh2 0.5000 0.5000 0.2976
Rh3 0.5000 0.5000 0.5000
Tm2 0.0000 0.0000 0.3993
Tm3 0.0000 0.0000 0.8017
Rh4 0.5000 0.5000 0.7024
Rh5 0.5000 0.5000 0.0917
Zr1 0.0000 0.0000 0.0000
Tm4 0.0000 0.0000 0.6007

Calculated density, Mg/m³: 11.16
DFT total energy, eV/atom: -7.25
E_form, eV per formula unit: -9.32
Crystal system: tetragonal
Symmetry: P4/mmm (123)

***

No. 2
## TmZr2Rh (PBE)

Data for an optimized crystal structure of TmZr2Rh.

abc: 3.3226 3.3226 9.6384
angles: 80.07 80.07 60.00
Sites, in units of the cell vectors:
Tm1 0.5000 0.5000 0.5000
Zr1 0.7356 0.7356 0.7932
Rh1 0.0000 0.0000 0.0000
Zr2 0.2644 0.2644 0.2068

ΔE to the lowest computed polymorph, meV per atom: 241
Calculated density, Mg/m³: 8.35
DFT total energy, eV/atom: -7.39
E_form, eV per formula unit: -0.64
Crystal system: trigonal
Symmetry: R-3m (166)

***

No. 3
## TmZrRh6 (PBE)

Data for an optimized crystal structure of TmZrRh6.

abc: 9.3404 9.3404 6.7199
angles: 112.72 133.71 103.00
Sites, in units of the cell vectors:
Rh1 0.8414 0.7940 0.6354
Rh2 0.7863 0.5772 0.1397
Zr1 0.0000 0.0000 0.5000
Rh3 0.4279 0.1485 0.3529
Rh4 0.2044 0.9250 0.3529
Rh5 0.4375 0.6466 0.8603
Zr2 0.5000 0.5000 0.5000
Rh6 0.5721 0.8515 0.6471
Rh7 0.5625 0.3534 0.1397
Rh8 0.2137 0.4228 0.8603
Rh9 0.1619 0.7043 0.8662
Rh10 0.7956 0.0750 0.6471
Tm1 0.5000 0.0000 0.0000
Tm2 0.0000 0.5000 0.0000
Rh11 0.8381 0.2957 0.1338
Rh12 0.1586 0.2060 0.3646

Calculated density, Mg/m³: 11.04
DFT total energy, eV/atom: -7.57
E_form, eV per formula unit: -3.43
Crystal system: monoclinic
Symmetry: C2/m (12)

***

No. 4
## URh3 (PBE)

Data for an optimized crystal structure of URh3.

abc: 4.0416 4.0416 4.9118
angles: 114.29 114.29 90.00
Sites, in units of the cell vectors:
Rh1 0.2500 0.7500 0.5000
U1 0.0000 0.0000 0.0000
Rh2 0.7500 0.2500 0.5000
Rh3 0.5000 0.5000 0.0000

Calculated density, Mg/m³: 13.91
DFT total energy, eV/atom: -8.87
E_form, eV per formula unit: -2.14
Crystal system: tetragonal
Symmetry: I4/mmm (139)

***

No. 5
## URh4 (PBE)

Data for an optimized crystal structure of URh4.

abc: 4.7611 4.7611 4.7611
angles: 90.00 90.00 90.00
Sites, in units of the cell vectors:
Rh1 0.0000 0.0000 0.0000
Rh2 0.5000 0.0000 0.5000
U1 0.5000 0.5000 0.5000
Rh3 0.0000 0.5000 0.5000
Rh4 0.5000 0.5000 0.0000

Calculated density, Mg/m³: 10.00
DFT total energy, eV/atom: -7.22
E_form, eV per formula unit: 4.62
Crystal system: cubic
Symmetry: Pm-3m (221)

***

No. 6
## URh4 (PBE)

Data for an optimized crystal structure of URh4.

abc: 4.1340 5.5677 7.7771
angles: 110.97 105.41 90.00
Sites, in units of the cell vectors:
Rh1 0.3065 0.3114 0.6130
Rh2 0.8972 0.6472 0.7944
Rh3 0.5000 0.0000 0.0000
Rh4 0.6935 0.1984 0.3870
U1 0.1070 0.8570 0.2140
Rh5 0.6935 0.6886 0.3870
U2 0.8930 0.1430 0.7860
Rh6 0.5000 0.5000 0.0000
Rh7 0.1028 0.3528 0.2056
Rh8 0.3065 0.8016 0.6130

Calculated density, Mg/m³: 13.47
DFT total energy, eV/atom: -8.62
E_form, eV per formula unit: -2.41
Crystal system: orthorhombic
Symmetry: Imma (74)

***

No. 7
## U5Rh (PBE)

Data for an optimized crystal structure of U5Rh.

abc: 3.0346 5.0584 8.0606
angles: 108.29 90.00 90.00
Sites, in units of the cell vectors:
U1 0.0000 0.6575 0.3149
U2 0.5000 0.1707 0.3413
U3 0.5000 0.5000 0.0000
U4 0.5000 0.8293 0.6587
Rh1 0.0000 0.0000 0.0000
U5 0.0000 0.3425 0.6851

Calculated density, Mg/m³: 18.28
DFT total energy, eV/atom: -10.67
E_form, eV per formula unit: -0.20
Crystal system: orthorhombic
Symmetry: Cmmm (65)

***

No. 8
## U3Rh (PBE)

Data for an optimized crystal structure of U3Rh.

abc: 4.1373 3.7123 5.1096
angles: 90.00 90.00 90.00
Sites, in units of the cell vectors:
U1 0.5000 0.5000 0.8571
U2 0.5000 0.0000 0.4708
Rh1 0.0000 0.5000 0.3982
U3 0.0000 0.0000 0.9405

Calculated density, Mg/m³: 17.29
DFT total energy, eV/atom: -10.34
E_form, eV per formula unit: -0.15
Crystal system: orthorhombic
Symmetry: Pmm2 (25)

***

No. 9
## U4Rh (PBE)

Data for an optimized crystal structure of U4Rh.

abc: 5.2492 5.2492 5.2492
angles: 90.00 90.00 90.00
Sites, in units of the cell vectors:
Rh1 0.5000 0.5000 0.5000
U1 0.5000 0.5000 0.0000
U2 0.5000 0.0000 0.5000
U3 0.0000 0.5000 0.5000
U4 0.0000 0.0000 0.0000

Calculated density, Mg/m³: 12.11
DFT total energy, eV/atom: -9.52
E_form, eV per formula unit: 4.92
Crystal system: cubic
Symmetry: Pm-3m (221)

***

No. 10
## U2Rh13 (PBE)

Data for an optimized crystal structure of U2Rh13.

abc: 6.8796 6.8796 8.0176
angles: 64.59 64.59 60.00
Sites, in units of the cell vectors:
U1 0.7539 0.7539 0.7384
Rh1 0.8797 0.4722 0.1760
Rh2 0.5000 0.5000 0.5000
Rh3 0.2564 0.2564 0.6038
Rh4 0.2564 0.8834 0.6038
Rh5 0.7436 0.1166 0.3962
Rh6 0.5278 0.1203 0.8240
Rh7 0.7436 0.7436 0.3962
Rh8 0.1203 0.5278 0.8240
Rh9 0.1166 0.7436 0.3962
U2 0.2461 0.2461 0.2616
Rh10 0.4722 0.8797 0.1760
Rh11 0.4722 0.4722 0.1760
Rh12 0.8834 0.2564 0.6038
Rh13 0.5278 0.5278 0.8240

ΔE to the lowest computed polymorph, meV per atom: 0
Calculated density, Mg/m³: 10.55
DFT total energy, eV/atom: -7.69
E_form, eV per formula unit: 2.84
Crystal system: trigonal
Symmetry: R-3m (166)

***

No. 11
## U2Rh13 (PBE)

Data for an optimized crystal structure of U2Rh13.

abc: 6.9286 6.9286 7.8138
angles: 63.68 63.68 60.00
Sites, in units of the cell vectors:
Rh1 0.6054 0.0001 0.7890
Rh2 0.8845 0.2548 0.6059
Rh3 0.9999 0.3946 0.2110
Rh4 0.6054 0.6054 0.7890
Rh5 0.2548 0.8845 0.6059
Rh6 0.3946 0.3946 0.2110
U1 0.6306 0.6306 0.1083
Rh7 0.3946 0.9999 0.2110
Rh8 0.7452 0.1155 0.3941
U2 0.3694 0.3694 0.8917
Rh9 0.5000 0.5000 0.5000
Rh10 0.7452 0.7452 0.3941
Rh11 0.1155 0.7452 0.3941
Rh12 0.0001 0.6054 0.7890
Rh13 0.2548 0.2548 0.6059

ΔE to the lowest computed polymorph, meV per atom: 19
Calculated density, Mg/m³: 10.79
DFT total energy, eV/atom: -7.67
E_form, eV per formula unit: 3.13
Crystal system: trigonal
Symmetry: R-3m (166)

***

No. 12
## U3Rh (PBE)

Data for an optimized crystal structure of U3Rh.

abc: 2.8936 5.1674 5.9478
angles: 115.75 104.08 90.00
Sites, in units of the cell vectors:
Rh1 0.0000 0.0829 0.0000
U1 0.2645 0.5239 0.5291
U2 0.7355 0.9949 0.4709
U3 0.5000 0.5650 0.0000

Calculated density, Mg/m³: 17.59
DFT total energy, eV/atom: -10.42
E_form, eV per formula unit: -0.45
Crystal system: orthorhombic
Symmetry: Imm2 (44)

***

No. 13
## URh3 (PBE)

Data for an optimized crystal structure of URh3.

abc: 4.0202 4.0202 4.0198
angles: 90.00 90.00 90.00
Sites, in units of the cell vectors:
Rh1 0.0000 0.5000 0.5834
U1 0.5000 0.0000 0.5833
Rh2 0.5000 0.5000 0.0834
Rh3 0.0000 0.0000 0.0833

Calculated density, Mg/m³: 13.97
DFT total energy, eV/atom: -9.00
E_form, eV per formula unit: -2.67
Crystal system: cubic
Symmetry: Pm-3m (221)

***

No. 14
## UV2Rh (PBE)

Data for an optimized crystal structure of UV2Rh.

abc: 4.4307 4.4307 4.4307
angles: 60.00 60.00 60.00
Sites, in units of the cell vectors:
V1 0.2500 0.2500 0.2500
U1 0.0000 0.0000 0.0000
Rh1 0.5000 0.5000 0.5000
V2 0.7500 0.7500 0.7500

ΔE to the lowest computed polymorph, meV per atom: 39
Calculated density, Mg/m³: 11.96
DFT total energy, eV/atom: -9.14
E_form, eV per formula unit: 0.31
Crystal system: cubic
Symmetry: Fm-3m (225)

***

No. 15
## UVRh2 (PBE)

Data for an optimized crystal structure of UVRh2.

abc: 3.9744 4.0346 4.0346
angles: 90.00 90.00 90.00
Sites, in units of the cell vectors:
U1 0.5000 0.5000 0.5000
V1 0.5000 0.0000 0.0000
Rh1 0.0000 0.5000 0.0000
Rh2 0.0000 0.0000 0.5000

ΔE to the lowest computed polymorph, meV per atom: 0
Calculated density, Mg/m³: 12.70
DFT total energy, eV/atom: -9.13
E_form, eV per formula unit: -1.43
Crystal system: tetragonal
Symmetry: P4/mmm (123)

***

No. 16
## UV2Rh (PBE)

Data for an optimized crystal structure of UV2Rh.

abc: 3.2016 3.2016 6.0161
angles: 90.00 90.00 90.00
Sites, in units of the cell vectors:
V1 0.0000 0.0000 0.7420
U1 0.5000 0.5000 0.5000
Rh1 0.5000 0.5000 0.0000
V2 0.0000 0.0000 0.2580

ΔE to the lowest computed polymorph, meV per atom: 50
Calculated density, Mg/m³: 11.92
DFT total energy, eV/atom: -9.13
E_form, eV per formula unit: 0.35
Crystal system: tetragonal
Symmetry: P4/mmm (123)

***

No. 17
## UVRh (PBE)

Data for an optimized crystal structure of UVRh.

abc: 3.6075 3.6075 4.7330
angles: 112.40 112.40 90.00
Sites, in units of the cell vectors:
U1 0.3503 0.3503 0.7005
Rh1 0.0123 0.0123 0.0245
V1 0.6375 0.6375 0.2749

ΔE to the lowest computed polymorph, meV per atom: 0
Calculated density, Mg/m³: 12.54
DFT total energy, eV/atom: -9.32
E_form, eV per formula unit: -0.19
Crystal system: tetragonal
Symmetry: I4mm (107)

***

No. 18
## UV2Rh (PBE)

Data for an optimized crystal structure of UV2Rh.

abc: 4.2624 3.9289 3.9289
angles: 90.00 90.00 90.00
Sites, in units of the cell vectors:
V1 0.0000 0.5000 0.0000
V2 0.0000 0.0000 0.5000
U1 0.5000 0.5000 0.5000
Rh1 0.5000 0.0000 0.0000

ΔE to the lowest computed polymorph, meV per atom: 0
Calculated density, Mg/m³: 11.18
DFT total energy, eV/atom: -9.18
E_form, eV per formula unit: 0.16
Crystal system: tetragonal
Symmetry: P4/mmm (123)

***

No. 19
## UVRh2 (PBE)

Data for an optimized crystal structure of UVRh2.

abc: 2.8509 2.8509 7.8413
angles: 90.00 90.00 90.00
Sites, in units of the cell vectors:
U1 0.5000 0.5000 0.5000
V1 0.5000 0.5000 0.0000
Rh1 0.0000 0.0000 0.7830
Rh2 0.0000 0.0000 0.2170

ΔE to the lowest computed polymorph, meV per atom: 82
Calculated density, Mg/m³: 12.89
DFT total energy, eV/atom: -9.05
E_form, eV per formula unit: -1.10
Crystal system: tetragonal
Symmetry: P4/mmm (123)

***

No. 20
## U2VRh9 (PBE)

Data for an optimized crystal structure of U2VRh9.

abc: 3.9592 3.9592 11.8304
angles: 90.00 90.00 90.00
Sites, in units of the cell vectors:
U1 0.0000 0.0000 0.3281
Rh1 0.5000 0.0000 0.1552
Rh2 0.0000 0.5000 0.5000
Rh3 0.5000 0.5000 0.0000
Rh4 0.5000 0.0000 0.8448
V1 0.0000 0.0000 0.0000
Rh5 0.5000 0.5000 0.3274
U2 0.0000 0.0000 0.6719
Rh6 0.5000 0.0000 0.5000
Rh7 0.0000 0.5000 0.1552
Rh8 0.5000 0.5000 0.6726
Rh9 0.0000 0.5000 0.8448

Calculated density, Mg/m³: 13.01
DFT total energy, eV/atom: -8.70
E_form, eV per formula unit: -6.51
Crystal system: tetragonal
Symmetry: P4/mmm (123)

***

No. 21
## UVRh (PBE)

Data for an optimized crystal structure of UVRh.

abc: 2.8185 2.8185 7.1397
angles: 90.00 90.00 120.00
Sites, in units of the cell vectors:
Rh1 0.0000 0.0000 0.9697
U1 0.6667 0.3333 0.3392
V1 0.3333 0.6667 0.6911

ΔE to the lowest computed polymorph, meV per atom: 63
Calculated density, Mg/m³: 13.25
DFT total energy, eV/atom: -9.25
E_form, eV per formula unit: -0.01
Crystal system: trigonal
Symmetry: P3m1 (156)

***

No. 22
## UVRh2 (PBE)

Data for an optimized crystal structure of UVRh2.

abc: 4.6029 4.6029 4.6114
angles: 60.06 60.06 60.00
Sites, in units of the cell vectors:
V1 0.0000 0.0000 0.0000
Rh1 0.7512 0.7512 0.7465
U1 0.5000 0.5000 0.5000
Rh2 0.2488 0.2488 0.2535

ΔE to the lowest computed polymorph, meV per atom: 146
Calculated density, Mg/m³: 11.88
DFT total energy, eV/atom: -8.99
E_form, eV per formula unit: -0.84
Crystal system: trigonal
Symmetry: R-3m (166)

***

No. 23
## YURh4 (PBE)

Data for an optimized crystal structure of YURh4.

abc: 5.3236 5.3236 5.3236
angles: 60.00 60.00 60.00
Sites, in units of the cell vectors:
Rh1 0.6250 0.6250 0.1249
Rh2 0.1249 0.6250 0.6250
U1 0.2500 0.2500 0.2500
Rh3 0.6250 0.6250 0.6250
Y1 0.0000 0.0000 0.0000
Rh4 0.6250 0.1249 0.6250

Calculated density, Mg/m³: 11.50
DFT total energy, eV/atom: -8.40
E_form, eV per formula unit: -3.26
Crystal system: cubic
Symmetry: F-43m (216)

***

No. 24
## YURh2 (PBE)

Data for an optimized crystal structure of YURh2.

abc: 3.3922 3.3922 7.0337
angles: 90.00 90.00 90.00
Sites, in units of the cell vectors:
Rh1 0.0000 0.0000 0.2286
Rh2 0.0000 0.0000 0.7714
Y1 0.5000 0.5000 0.5000
U1 0.5000 0.5000 0.0000

Calculated density, Mg/m³: 10.93
DFT total energy, eV/atom: -8.71
E_form, eV per formula unit: -2.37
Crystal system: tetragonal
Symmetry: P4/mmm (123)

***

No. 25
## UZn2Rh2 (PBE)

Data for an optimized crystal structure of UZn2Rh2.

abc: 4.0548 4.0548 5.7674
angles: 90.22 90.22 114.09
Sites, in units of the cell vectors:
U1 0.0000 0.0000 0.0000
Zn1 0.1763 0.8237 0.5000
Rh1 0.4991 0.4991 0.2497
Zn2 0.8237 0.1763 0.5000
Rh2 0.5009 0.5009 0.7503

Calculated density, Mg/m³: 11.02
DFT total energy, eV/atom: -5.98
E_form, eV per formula unit: -1.38
Crystal system: monoclinic
Symmetry: C2/m (12)

***

No. 26
## UZnRh6 (PBE)

Data for an optimized crystal structure of UZnRh6.

abc: 3.9479 5.5542 5.5542
angles: 90.01 90.00 90.00
Sites, in units of the cell vectors:
Rh1 0.0000 0.7477 0.7477
Rh2 0.0000 0.2522 0.7478
Zn1 0.5000 0.5000 0.5000
Rh3 0.0000 0.2523 0.2523
U1 0.5000 0.0000 0.0000
Rh4 0.5000 0.0000 0.5000
Rh5 0.0000 0.7478 0.2522
Rh6 0.5000 0.5000 0.0000

Calculated density, Mg/m³: 12.56
DFT total energy, eV/atom: -7.51
E_form, eV per formula unit: -3.44
Crystal system: tetragonal
Symmetry: P4/mmm (123)